VASP calculation (PBE-GGA) on Y2MgC after structural relaxation.

Cell: 6.3535 6.3535 6.3535 Å, 109.75 109.75 108.92°
Element x y z (fractional)
Y: 0.0308 0.6250 0.9058
Y: 0.3750 0.2808 0.4058
Y: 0.7192 0.1250 0.0942
Y: 0.8750 0.9692 0.5942
Mg: 0.2500 0.7500 0.5000
Mg: 0.5000 0.5000 0.0000
C: 0.0000 0.0000 0.0000
C: 0.7500 0.2500 0.5000

* crystal system: tetragonal
* final energy: -5.821 eV per atom